The following is a PBE calculation of an optimized crystal structure of Pr2Ga9Pd3, from Alexandria.

Cell lengths 7.7844, 7.7844, 10.7148 Å; angles 111.11, 111.11, 60.05 degrees
Closest atoms and distances in Å follow each position.
Atoms (fractional coordinates):
Pr: 0.0844 0.2514 0.2511  11 Ga 3.11-3.24
Pr: 0.2514 0.0844 0.7511  11 Ga 3.11-3.24
Pr: 0.7486 0.9156 0.2489  11 Ga 3.11-3.24
Pr: 0.9156 0.7486 0.7489  11 Ga 3.11-3.24
Ga: 0.0280 0.8553 0.0750  3 Pd 2.68-2.69, 4 Ga 2.83-3.00
Ga: 0.1447 0.9720 0.4250  3 Pd 2.68-2.69, 4 Ga 2.83-3.00
Ga: 0.1962 0.3581 0.5756  3 Pd 2.68-2.69, 3 Ga 2.81-2.90
Ga: 0.2152 0.5814 0.2512  2 Pd 2.63-2.65, 6 Ga 2.75-2.88
Ga: 0.3129 0.4797 0.9369  3 Pd 2.67-2.70, 5 Ga 2.86-2.90
Ga: 0.3581 0.1962 0.0756  3 Pd 2.68-2.69, 3 Ga 2.81-2.90
Ga: 0.3779 0.6221 0.7500  2 Pd 2.65, 6 Ga 2.75-2.90
Ga: 0.4186 0.7848 0.2488  2 Pd 2.63-2.65, 6 Ga 2.75-2.88
Ga: 0.4797 0.3129 0.4369  3 Pd 2.67-2.70, 5 Ga 2.86-2.90
Ga: 0.5203 0.6871 0.5631  3 Pd 2.67-2.70, 5 Ga 2.86-2.90
Ga: 0.5814 0.2152 0.7512  2 Pd 2.63-2.65, 6 Ga 2.75-2.88
Ga: 0.6221 0.3779 0.2500  2 Pd 2.65, 6 Ga 2.75-2.90
Ga: 0.6419 0.8038 0.9244  3 Pd 2.68-2.69, 3 Ga 2.81-2.90
Ga: 0.6871 0.5203 0.0631  3 Pd 2.67-2.70, 5 Ga 2.86-2.90
Ga: 0.7848 0.4186 0.7488  2 Pd 2.63-2.65, 6 Ga 2.75-2.88
Ga: 0.8038 0.6419 0.4244  3 Pd 2.68-2.69, 3 Ga 2.81-2.90
Ga: 0.8553 0.0280 0.5750  3 Pd 2.68-2.69, 4 Ga 2.83-3.00
Ga: 0.9720 0.1447 0.9250  3 Pd 2.68-2.69, 4 Ga 2.83-3.00
Pd: 0.0000 0.5000 0.0000  8 Ga 2.65-2.69
Pd: 0.1605 0.6691 0.4991  8 Ga 2.63-2.70
Pd: 0.3309 0.8395 0.0009  8 Ga 2.63-2.70
Pd: 0.5000 0.0000 0.5000  8 Ga 2.65-2.69
Pd: 0.6691 0.1605 0.9991  8 Ga 2.63-2.70
Pd: 0.8395 0.3309 0.5009  8 Ga 2.63-2.70

Values from the calculation:
N(E_F) ... 9.4 states/eV/cell
DFT total energy ... -122.321 eV per cell
Total moment ... 0.00 μB per formula unit
Formation enthalpy at 0 K ... -0.6272 eV per atom



The following is a PBE calculation of an optimized crystal structure of RhBr2F, from Alexandria.

Cell lengths 7.8083, 7.8083, 7.8083 Å; angles 27.62, 27.62, 27.62 degrees
Closest atoms and distances in Å follow each position.
Atoms (fractional coordinates):
Rh: 0.0000 0.0000 0.0000  6 Br 2.56
Br: 0.3952 0.3952 0.3952  1 F 2.36, 3 Rh 2.56
Br: 0.6048 0.6048 0.6048  1 F 2.36, 3 Rh 2.56
F: 0.5000 0.5000 0.5000  2 Br 2.36

Values from the calculation:
N(E_F) ... 0.0 states/eV/cell
DFT total energy ... -13.809 eV per cell
Total moment ... 0.00 μB per formula unit
E_form (uncorrected) ... -30 kJ per mole of atoms



The following is a PBE calculation of an optimized crystal structure of Y3TmTl, from Alexandria.

Cell lengths 9.9026, 9.9026, 5.5559 Å; angles 90.00, 90.00, 147.17 degrees
Closest atoms and distances in Å follow each position.
Atoms (fractional coordinates):
Y: 0.0530 0.9470 0.7500  2 Tm 3.25, 2 Tl 3.39, 4 Y 3.43-3.46
Y: 0.2502 0.7498 0.7500  4 Tl 3.33-3.35, 4 Tm 3.46-3.47, 1 Y 3.71
Y: 0.4457 0.5543 0.7500  2 Tm 3.26, 2 Tl 3.36, 4 Y 3.46
Y: 0.5543 0.4457 0.2500  2 Tm 3.26, 2 Tl 3.36, 4 Y 3.46
Y: 0.7498 0.2502 0.2500  4 Tl 3.33-3.35, 4 Tm 3.46-3.47, 1 Y 3.71
Y: 0.9470 0.0530 0.2500  2 Tm 3.25, 2 Tl 3.39, 4 Y 3.43-3.46
Tm: 0.1419 0.8581 0.2500  8 Y 3.25-3.47
Tm: 0.8581 0.1419 0.7500  8 Y 3.25-3.47
Tl: 0.3464 0.6536 0.2500  8 Y 3.33-3.39
Tl: 0.6536 0.3464 0.7500  8 Y 3.33-3.39

Values from the calculation:
N(E_F) ... 10.7 states/eV/cell
DFT total energy ... -53.061 eV per cell
Total moment ... 0.00 μB per formula unit
Formation enthalpy at 0 K ... -0.0601 eV per atom



The following is a PBE calculation of an optimized crystal structure of TiZnCrNi, from Alexandria.

Cell lengths 4.2624, 4.2624, 4.2624 Å; angles 60.00, 60.00, 60.00 degrees
Closest atoms and distances in Å follow each position.
Atoms (fractional coordinates):
Ti: 0.0000 0.0000 0.0000  4 Cr 2.61, 4 Ni 2.61
Zn: 0.5000 0.5000 0.5000  4 Cr 2.61, 4 Ni 2.61
Cr: 0.2500 0.2500 0.2500  4 Ti 2.61, 4 Zn 2.61
Ni: 0.7500 0.7500 0.7500  4 Zn 2.61, 4 Ti 2.61

Values from the calculation:
N(E_F) ... 2.6 states/eV/cell
DFT total energy ... -24.843 eV per cell
Total moment ... 3.88 μB per formula unit
Formation enthalpy at 0 K ... -0.0674 eV per atom



DFT total energy of number 4 (TiZnCrNi)? -24.843 eV per cell